(1)
Here is AlCrIr2 after structural relaxation from Alexandria via LeMat-Bulk. Energies are from PBE.

a = 4.5351 Å, b = 4.5351 Å, c = 4.7711 Å
α = 100.74°, β = 100.74°, γ = 35.77°
Last column: nearest neighbours and their distance in Å.
Positions (direct):
1 Al 0.0000 0.0000 0.0000  6 Ir 2.65-2.67, 4 Cr 2.76, 2 Al 2.79
2 Cr 0.5000 0.5000 0.5000  6 Ir 2.64-2.65, 4 Al 2.76, 2 Cr 2.79
3 Ir 0.2500 0.2500 0.7461  3 Cr 2.64-2.65, 3 Al 2.65-2.67, 6 Ir 2.73-2.80
4 Ir 0.7500 0.7500 0.2539  3 Cr 2.64-2.65, 3 Al 2.65-2.67, 6 Ir 2.73-2.80

For the formation energy, the calculation gives -326 meV per atom. For the total moment, the calculation gives 2.27 μB/f.u. The mass density comes out at 13680 kg/m³. The space group is No. 12.

=====

(2)
Here is ZnRe2W after structural relaxation from Alexandria via LeMat-Bulk. Energies are from PBE.

a = 9.2366 Å, b = 9.2366 Å, c = 9.2366 Å
α = 17.34°, β = 17.34°, γ = 17.34°
Last column: nearest neighbours and their distance in Å.
Positions (direct):
1 Zn 0.0000 0.0000 0.0000  6 Zn 2.79, 3 Re 2.79, 3 W 2.82
2 Re 0.2499 0.2499 0.2499  9 Re 2.69-2.79, 3 Zn 2.79
3 Re 0.5043 0.5043 0.5043  9 Re 2.69-2.79, 3 W 2.84
4 W 0.7517 0.7517 0.7517  6 W 2.79, 3 Zn 2.82, 3 Re 2.84

For the formation energy, the calculation gives 164 meV per atom. For the total moment, the calculation gives 0.00 μB/f.u. The mass density comes out at 16895 kg/m³. The space group is No. 160.

=====

(3)
Here is PmDy5Bi4 after structural relaxation from Alexandria via LeMat-Bulk. Energies are from PBE.

a = 10.2130 Å, b = 10.2130 Å, c = 7.7845 Å
α = 101.44°, β = 101.44°, γ = 25.04°
Last column: nearest neighbours and their distance in Å.
Positions (direct):
1 Pm 0.0000 0.0000 0.0000  6 Bi 3.23-3.33
2 Dy 0.0000 0.0000 0.5000  6 Bi 3.16-3.27
3 Dy 0.3045 0.3045 0.3886  4 Bi 3.15-3.29
4 Dy 0.3120 0.3120 0.9137  3 Bi 3.10-3.21
5 Dy 0.6880 0.6880 0.0863  3 Bi 3.10-3.21
6 Dy 0.6955 0.6955 0.6114  4 Bi 3.15-3.29
7 Bi 0.1363 0.1363 0.3274  6 Dy 3.18-3.29, 1 Pm 3.33
8 Bi 0.4368 0.4368 0.2247  4 Dy 3.10-3.16, 2 Pm 3.23
9 Bi 0.5632 0.5632 0.7753  4 Dy 3.10-3.16, 2 Pm 3.23
10 Bi 0.8637 0.8637 0.6726  6 Dy 3.18-3.29, 1 Pm 3.33

For the formation energy, the calculation gives -566 meV per atom. For the total moment, the calculation gives 2.12 μB/f.u. The mass density comes out at 8850 kg/m³. The space group is No. 12.

=====

(4)
Here is Ba6HPb2O after structural relaxation from Alexandria via LeMat-Bulk. Energies are from PBE.

a = 7.9004 Å, b = 7.9004 Å, c = 7.9004 Å
α = 60.00°, β = 60.00°, γ = 60.00°
Last column: nearest neighbours and their distance in Å.
Positions (direct):
1 Ba 0.2432 0.2432 0.7568  1 O 2.72, 1 H 2.87
2 Ba 0.2432 0.7568 0.2432  1 O 2.72, 1 H 2.87
3 Ba 0.2432 0.7568 0.7568  1 O 2.72, 1 H 2.87
4 Ba 0.7568 0.2432 0.2432  1 O 2.72, 1 H 2.87
5 Ba 0.7568 0.2432 0.7568  1 O 2.72, 1 H 2.87
6 Ba 0.7568 0.7568 0.2432  1 O 2.72, 1 H 2.87
7 H 0.5000 0.5000 0.5000  6 Ba 2.87
8 Pb 0.2500 0.2500 0.2500  12 Ba 3.95
9 Pb 0.7500 0.7500 0.7500  12 Ba 3.95
10 O 0.0000 0.0000 0.0000  6 Ba 2.72

For the total moment, the calculation gives 0.00 μB/f.u. As for the calculated total energy: -35.95 eV/cell. The mass density comes out at 5978 kg/m³. The space group is No. 225.